No. 1
Computed, not measured: YBSeN2 after structural relaxation at the GGA-PBE level of DFT.

Calculated values
Space group: P4/mmm
Total moment: 1.3 Bohr magnetons per cell
Calculated total energy: -6.05 eV/atom

Lattice parameters (Å, degrees): 3.7892 3.7892 4.4403 90.00 90.00 90.00
Positions (direct):
Y1 0.0000 0.0000 0.0000
B1 0.5000 0.5000 0.5000
Se1 0.5000 0.5000 0.0000
N1 0.0000 0.5000 0.5000
N2 0.5000 0.0000 0.5000

***

No. 2
Computed, not measured: ZnBSe2N after structural relaxation at the GGA-PBE level of DFT.

Calculated values
Space group: P4/mmm
Total moment: 0.0 Bohr magnetons per cell
Calculated total energy: -4.54 eV/atom

Lattice parameters (Å, degrees): 6.5065 6.5065 2.5748 90.00 90.00 90.00
Positions (direct):
Zn1 0.0000 0.0000 0.0000
B1 0.5000 0.5000 0.5000
Se1 0.0000 0.5000 0.5000
Se2 0.5000 0.0000 0.5000
N1 0.5000 0.5000 0.0000

***

No. 3
Computed, not measured: ZnBSeN2 after structural relaxation at the GGA-PBE level of DFT.

Calculated values
Space group: P4/mmm
Total moment: 0.3 Bohr magnetons per cell
Calculated total energy: -4.61 eV/atom

Lattice parameters (Å, degrees): 3.2626 3.2626 7.6482 90.00 90.00 90.00
Positions (direct):
Zn1 0.0000 0.0000 0.0000
B1 0.5000 0.5000 0.5000
Se1 0.5000 0.5000 0.0000
N1 0.0000 0.5000 0.5000
N2 0.5000 0.0000 0.5000

***

No. 4
Computed, not measured: ZnBSeN2 after structural relaxation at the GGA-PBE level of DFT.

Calculated values
Space group: P4/mmm
Total moment: 1.9 Bohr magnetons per cell
Calculated total energy: -3.49 eV/atom

Lattice parameters (Å, degrees): 3.5968 3.5968 7.4125 90.00 90.00 90.00
Positions (direct):
Zn1 0.0000 0.0000 0.0000
B1 0.5000 0.5000 0.5000
Se1 0.0000 0.0000 0.5000
N1 0.0000 0.5000 0.0000
N2 0.5000 0.0000 0.0000

***

No. 5
Computed, not measured: ZnBSe2N after structural relaxation at the GGA-PBE level of DFT.

Calculated values
Space group: P4/mmm
Total moment: 0.2 Bohr magnetons per cell
Calculated total energy: -2.93 eV/atom

Lattice parameters (Å, degrees): 5.0748 5.0748 3.6226 90.00 90.00 90.00
Positions (direct):
Zn1 0.0000 0.0000 0.0000
B1 0.5000 0.5000 0.5000
Se1 0.0000 0.5000 0.0000
Se2 0.5000 0.0000 0.0000
N1 0.0000 0.0000 0.5000

***

No. 6
Computed, not measured: Si2BN2 after structural relaxation at the GGA-PBE level of DFT.

Calculated values
Space group: P4/mbm
Total moment: 0.0 Bohr magnetons per cell
Calculated total energy: -6.17 eV/atom

Lattice parameters (Å, degrees): 6.1114 6.1114 3.1560 90.00 90.00 90.00
Positions (direct):
Si1 0.2204 0.2796 0.0000
Si2 0.2796 0.7796 0.0000
Si3 0.7204 0.2204 0.0000
Si4 0.7796 0.7204 0.0000
B1 0.0000 0.0000 0.0000
B2 0.5000 0.5000 0.0000
N1 0.1578 0.3422 0.5000
N2 0.3422 0.8422 0.5000
N3 0.6578 0.1578 0.5000
N4 0.8422 0.6578 0.5000

***

No. 7
Computed, not measured: SiBN after structural relaxation at the GGA-PBE level of DFT.

Calculated values
Space group: Pca2_1
Total moment: 0.0 Bohr magnetons per cell
Calculated total energy: -6.80 eV/atom

Lattice parameters (Å, degrees): 4.1504 5.6919 5.1765 90.00 90.00 90.00
Positions (direct):
Si1 0.0807 0.1697 0.0000
Si2 0.4193 0.1697 0.5000
Si3 0.5807 0.8303 0.0000
Si4 0.9193 0.8303 0.5000
B1 0.2314 0.6120 0.1440
B2 0.2686 0.6120 0.6440
B3 0.7314 0.3880 0.1440
B4 0.7686 0.3880 0.6440
N1 0.1212 0.3738 0.6673
N2 0.3788 0.3738 0.1673
N3 0.6212 0.6262 0.6673
N4 0.8788 0.6262 0.1673

***

No. 8
Computed, not measured: SiBN2 after structural relaxation at the GGA-PBE level of DFT.

Calculated values
Space group: Fm-3m
Total moment: 0.0 Bohr magnetons per cell
Calculated total energy: -5.41 eV/atom

Lattice parameters (Å, degrees): 4.9203 4.9203 4.9203 90.00 90.00 90.00
Positions (direct):
Si1 0.0000 0.0000 0.0000
Si2 0.0000 0.5000 0.5000
Si3 0.5000 0.0000 0.5000
Si4 0.5000 0.5000 0.0000
B1 0.0000 0.0000 0.5000
B2 0.0000 0.5000 0.0000
B3 0.5000 0.0000 0.0000
B4 0.5000 0.5000 0.5000
N1 0.2500 0.2500 0.2500
N2 0.2500 0.2500 0.7500
N3 0.2500 0.7500 0.2500
N4 0.2500 0.7500 0.7500
N5 0.7500 0.2500 0.2500
N6 0.7500 0.2500 0.7500
N7 0.7500 0.7500 0.2500
N8 0.7500 0.7500 0.7500

***

No. 9
Computed, not measured: SiBN2 after structural relaxation at the GGA-PBE level of DFT.

Calculated values
Space group: I-42d
Total moment: 0.0 Bohr magnetons per cell
Calculated total energy: -7.52 eV/atom

Lattice parameters (Å, degrees): 4.0049 4.0049 7.6699 90.00 90.00 90.00
Positions (direct):
Si1 0.0000 0.0000 0.0000
Si2 0.0000 0.5000 0.2500
Si3 0.5000 0.0000 0.7500
Si4 0.5000 0.5000 0.5000
B1 0.0000 0.0000 0.5000
B2 0.0000 0.5000 0.7500
B3 0.5000 0.0000 0.2500
B4 0.5000 0.5000 0.0000
N1 0.2020 0.2500 0.6250
N2 0.2500 0.7020 0.8750
N3 0.2500 0.7980 0.3750
N4 0.2980 0.2500 0.1250
N5 0.7020 0.7500 0.1250
N6 0.7500 0.2020 0.3750
N7 0.7500 0.2980 0.8750
N8 0.7980 0.7500 0.6250

***

No. 10
Computed, not measured: Si3BN after structural relaxation at the GGA-PBE level of DFT.

Calculated values
Space group: Pm-3m
Total moment: 0.0 Bohr magnetons per cell
Calculated total energy: -4.98 eV/atom

Lattice parameters (Å, degrees): 3.9464 3.9464 3.9464 90.00 90.00 90.00
Positions (direct):
Si1 0.0000 0.0000 0.5000
Si2 0.0000 0.5000 0.0000
Si3 0.5000 0.0000 0.0000
B1 0.5000 0.5000 0.5000
N1 0.0000 0.0000 0.0000

***

No. 11
Computed, not measured: SiB3N after structural relaxation at the GGA-PBE level of DFT.

Calculated values
Space group: Pm-3m
Total moment: 0.0 Bohr magnetons per cell
Calculated total energy: -4.29 eV/atom

Lattice parameters (Å, degrees): 3.9212 3.9212 3.9212 90.00 90.00 90.00
Positions (direct):
Si1 0.0000 0.0000 0.0000
B1 0.0000 0.0000 0.5000
B2 0.0000 0.5000 0.0000
B3 0.5000 0.0000 0.0000
N1 0.5000 0.5000 0.5000

***

No. 12
Computed, not measured: SiBN2 after structural relaxation at the GGA-PBE level of DFT.

Calculated values
Space group: R-3m
Total moment: 0.0 Bohr magnetons per cell
Calculated total energy: -7.58 eV/atom

Lattice parameters (Å, degrees): 2.8164 2.8164 14.5493 90.00 90.00 120.00
Positions (direct):
Si1 0.0000 0.0000 0.0000
Si2 0.3333 0.6667 0.6667
Si3 0.6667 0.3333 0.3333
B1 0.0000 0.0000 0.5000
B2 0.3333 0.6667 0.1667
B3 0.6667 0.3333 0.8333
N1 0.0000 0.0000 0.4027
N2 0.0000 0.0000 0.5973
N3 0.3333 0.6667 0.0694
N4 0.3333 0.6667 0.2640
N5 0.6667 0.3333 0.7360
N6 0.6667 0.3333 0.9306

***

No. 13
Computed, not measured: SiB6N6 after structural relaxation at the GGA-PBE level of DFT.

Calculated values
Space group: Pm-3
Total moment: 0.5 Bohr magnetons per cell
Calculated total energy: -7.50 eV/atom

Lattice parameters (Å, degrees): 4.5892 4.5892 4.5892 90.00 90.00 90.00
Positions (direct):
Si1 0.0000 0.0000 0.0000
B1 0.0000 0.2441 0.5000
B2 0.0000 0.7559 0.5000
B3 0.2441 0.5000 0.0000
B4 0.5000 0.0000 0.2441
B5 0.5000 0.0000 0.7559
B6 0.7559 0.5000 0.0000
N1 0.0000 0.5000 0.2540
N2 0.0000 0.5000 0.7460
N3 0.2540 0.0000 0.5000
N4 0.5000 0.2540 0.0000
N5 0.5000 0.7460 0.0000
N6 0.7460 0.0000 0.5000

***

No. 14
Computed, not measured: Si2BN2 after structural relaxation at the GGA-PBE level of DFT.

Calculated values
Space group: I4/mmm
Total moment: 0.0 Bohr magnetons per cell
Calculated total energy: -6.15 eV/atom

Lattice parameters (Å, degrees): 3.7565 3.7565 6.8458 90.00 90.00 90.00
Positions (direct):
Si1 0.0000 0.0000 0.1815
Si2 0.0000 0.0000 0.8185
Si3 0.5000 0.5000 0.3185
Si4 0.5000 0.5000 0.6815
B1 0.0000 0.0000 0.5000
B2 0.5000 0.5000 0.0000
N1 0.0000 0.5000 0.2500
N2 0.0000 0.5000 0.7500
N3 0.5000 0.0000 0.2500
N4 0.5000 0.0000 0.7500

***

No. 15
Computed, not measured: SiB3N after structural relaxation at the GGA-PBE level of DFT.

Calculated values
Space group: Pm-3m
Total moment: 0.0 Bohr magnetons per cell
Calculated total energy: -5.03 eV/atom

Lattice parameters (Å, degrees): 3.4850 3.4850 3.4850 90.00 90.00 90.00
Positions (direct):
Si1 0.0000 0.0000 0.0000
B1 0.0000 0.5000 0.5000
B2 0.5000 0.0000 0.5000
B3 0.5000 0.5000 0.0000
N1 0.5000 0.5000 0.5000

***

No. 16
Computed, not measured: SiB3N3 after structural relaxation at the GGA-PBE level of DFT.

Calculated values
Space group: Pm-3n
Total moment: 0.0 Bohr magnetons per cell
Calculated total energy: -6.80 eV/atom

Lattice parameters (Å, degrees): 4.7017 4.7017 4.7017 90.00 90.00 90.00
Positions (direct):
Si1 0.0000 0.0000 0.0000
Si2 0.5000 0.5000 0.5000
B1 0.0000 0.2500 0.5000
B2 0.0000 0.7500 0.5000
B3 0.2500 0.5000 0.0000
B4 0.5000 0.0000 0.2500
B5 0.5000 0.0000 0.7500
B6 0.7500 0.5000 0.0000
N1 0.0000 0.5000 0.2500
N2 0.0000 0.5000 0.7500
N3 0.2500 0.0000 0.5000
N4 0.5000 0.2500 0.0000
N5 0.5000 0.7500 0.0000
N6 0.7500 0.0000 0.5000

***

No. 17
Computed, not measured: SrSi2BN after structural relaxation at the GGA-PBE level of DFT.

Calculated values
Space group: P4/mmm
Total moment: 0.0 Bohr magnetons per cell
Calculated total energy: -4.70 eV/atom

Lattice parameters (Å, degrees): 4.0154 4.0154 5.0492 90.00 90.00 90.00
Positions (direct):
Sr1 0.0000 0.0000 0.0000
Si1 0.0000 0.5000 0.5000
Si2 0.5000 0.0000 0.5000
B1 0.5000 0.5000 0.0000
N1 0.0000 0.0000 0.5000

***

No. 18
Computed, not measured: Zn2SiBN after structural relaxation at the GGA-PBE level of DFT.

Calculated values
Space group: P4/mmm
Total moment: 1.6 Bohr magnetons per cell
Calculated total energy: -2.98 eV/atom

Lattice parameters (Å, degrees): 4.8001 4.8001 3.7300 90.00 90.00 90.00
Positions (direct):
Zn1 0.0000 0.5000 0.0000
Zn2 0.5000 0.0000 0.0000
Si1 0.0000 0.0000 0.0000
B1 0.0000 0.0000 0.5000
N1 0.5000 0.5000 0.5000

***

No. 19
Computed, not measured: Sm2BN3 after structural relaxation at the GGA-PBE level of DFT.

Calculated values
Space group: Immm
Total moment: 0.0 Bohr magnetons per cell
Calculated total energy: -7.72 eV/atom

Lattice parameters (Å, degrees): 3.4129 4.2452 11.0042 90.00 90.00 90.00
Positions (direct):
Sm1 0.0000 0.0000 0.1460
Sm2 0.0000 0.0000 0.8540
Sm3 0.5000 0.5000 0.3540
Sm4 0.5000 0.5000 0.6460
B1 0.0000 0.0000 0.5000
B2 0.5000 0.5000 0.0000
N1 0.0000 0.0000 0.3672
N2 0.0000 0.0000 0.6328
N3 0.0000 0.5000 0.5000
N4 0.5000 0.0000 0.0000
N5 0.5000 0.5000 0.1328
N6 0.5000 0.5000 0.8672

***

No. 20
Computed, not measured: SmB2N3 after structural relaxation at the GGA-PBE level of DFT.

Calculated values
Space group: Pmmn
Total moment: 0.0 Bohr magnetons per cell
Calculated total energy: -8.06 eV/atom

Lattice parameters (Å, degrees): 5.6752 8.2812 3.7447 90.00 90.00 90.00
Positions (direct):
Sm1 0.2500 0.2500 0.2468
Sm2 0.7500 0.7500 0.7532
B1 0.2500 0.5870 0.7470
B2 0.2500 0.9130 0.7470
B3 0.7500 0.0870 0.2530
B4 0.7500 0.4130 0.2530
N1 0.2500 0.0708 0.7470
N2 0.2500 0.4292 0.7470
N3 0.2500 0.7500 0.7486
N4 0.7500 0.2500 0.2514
N5 0.7500 0.5708 0.2530
N6 0.7500 0.9292 0.2530